(1)
The following is a DFT calculation (PBE) of an optimized crystal structure of RbLa2Rh.

```
data_RbLa2Rh
_chemical_formula_sum 'Rb1 La2 Rh1'
_symmetry_space_group_name_H-M 'P 1'
_symmetry_Int_Tables_number 1
_symmetry_space_group_name_Hall 'P 1'
_cell_length_a 5.472
_cell_length_b 5.472
_cell_length_c 5.472
_cell_angle_alpha 60.00
_cell_angle_beta 60.00
_cell_angle_gamma 60.00
loop_
_atom_site_label
_atom_site_type_symbol
_atom_site_fract_x
_atom_site_fract_y
_atom_site_fract_z
_atom_site_occupancy
Rh1 Rh 0.500 0.500 0.500 1
Rb1 Rb 0.000 0.000 0.000 1
La1 La 0.250 0.250 0.250 1
La2 La 0.750 0.750 0.750 1
```

Values from the calculation:
Space group ... Fm-3m
D(E_F) ... 1.71 states/eV/atom
Formation energy from the elements ... 303 meV per atom
E_tot ... -4.241 eV/atom
ΔE to the lowest computed polymorph ... 0.622 eV/atom

(2)
The following is a DFT calculation (PBE) of an optimized crystal structure of BaPt2Au.

```
data_BaPt2Au
_chemical_formula_sum 'Ba1 Pt2 Au1'
_symmetry_space_group_name_H-M 'P 1'
_symmetry_Int_Tables_number 1
_symmetry_space_group_name_Hall 'P 1'
_cell_length_a 3.518
_cell_length_b 3.518
_cell_length_c 7.217
_cell_angle_alpha 90.00
_cell_angle_beta 90.00
_cell_angle_gamma 90.02
loop_
_atom_site_label
_atom_site_type_symbol
_atom_site_fract_x
_atom_site_fract_y
_atom_site_fract_z
_atom_site_occupancy
Au1 Au 0.500 0.500 0.250 1
Ba1 Ba 0.500 0.500 0.750 1
Pt1 Pt 0.000 0.000 0.060 1
Pt2 Pt 0.000 0.000 0.440 1
```

Values from the calculation:
Space group ... P4/mmm
D(E_F) ... 0.58 states/eV/atom
Formation energy from the elements ... -87 meV per atom
E_tot ... -4.407 eV/atom
ΔE to the lowest computed polymorph ... 0.462 eV/atom